A geometry-optimized CdBrN2 structure, computed with PBE.

The value obtained for the energy above the most stable polymorph in this dataset is 2438 meV/atom. For the total magnetic moment, the calculation gives 2.8 μB per cell. The calculation puts the uncorrected formation energy at 2228 meV per atom.

The structure belongs to space group Fm-3m (No. 225); the cell edges are 6.048, 6.048 and 6.048 Å and the angles 90.00°, 90.00° and 90.00°. The inequivalent atoms are Cd at (0.000, 0.000, 0.000), Br at (0.000, 0.000, 0.500) and N at (0.250, 0.250, 0.250).